CrSnO2: relaxed, PBE with a Hubbard U.

Cell and atoms, written as CIF:
```
data_CrSnO2
_chemical_formula_sum 'Cr4 Sn4 O8'
_cell_length_a 6.051
_cell_length_b 7.833
_cell_length_c 5.458
_cell_angle_alpha 90.00
_cell_angle_beta 90.00
_cell_angle_gamma 90.00
_symmetry_space_group_name_H-M 'P 1'
_symmetry_Int_Tables_number 1
loop_
_symmetry_equiv_pos_as_xyz
'x,y,z'
loop_
_atom_site_label
_atom_site_type_symbol
_atom_site_fract_x
_atom_site_fract_y
_atom_site_fract_z
_atom_site_occupancy
Cr1 Cr 0.151 0.115 0.000 1
Cr2 Cr 0.349 0.615 0.500 1
Cr3 Cr 0.651 0.385 0.000 1
Cr4 Cr 0.849 0.885 0.500 1
Sn1 Sn 0.146 0.594 0.010 1
Sn2 Sn 0.354 0.094 0.510 1
Sn3 Sn 0.646 0.906 0.010 1
Sn4 Sn 0.854 0.406 0.510 1
O1 O 0.025 0.638 0.638 1
O2 O 0.113 0.968 0.313 1
O3 O 0.387 0.468 0.813 1
O4 O 0.475 0.138 0.138 1
O5 O 0.525 0.862 0.638 1
O6 O 0.613 0.532 0.313 1
O7 O 0.887 0.032 0.813 1
O8 O 0.975 0.362 0.138 1
```

**SG**: Pna2_1
**DOS(E_F)**: 0.0 states/eV per cell
**Spin magnetization**: 16.00 Bohr magnetons per cell
**Offset from the most stable computed form**: 283 meV/atom